No. 1
# Li2ZnTeN, optimized geometry, DFT PBE-GGA
data_Li2ZnTeN
_cell_length_a 4.539
_cell_length_b 4.539
_cell_length_c 3.799
_cell_angle_alpha 90.00
_cell_angle_beta 90.00
_cell_angle_gamma 90.00
_space_group_name_H-M_alt 'P 4/m m m'
_space_group_IT_number 123
_space_group_name_Hall '-P 4 2'
loop_
_atom_site_label
_atom_site_fract_x
_atom_site_fract_y
_atom_site_fract_z
Li1 0.000 0.500 0.000
Zn1 0.000 0.000 0.500
Te1 0.500 0.500 0.500
N1 0.000 0.000 0.000
# raw formation energy: -29 kJ/mol of atoms
# crystal system: tetragonal
# final energy: -3.61 eV/atom

---

No. 2
# LiZnTeN2, optimized geometry, DFT PBE-GGA
data_LiZnTeN2
_cell_length_a 4.005
_cell_length_b 4.005
_cell_length_c 5.975
_cell_angle_alpha 90.00
_cell_angle_beta 90.00
_cell_angle_gamma 90.00
_space_group_name_H-M_alt 'P 4/m m m'
_space_group_IT_number 123
_space_group_name_Hall '-P 4 2'
loop_
_atom_site_label
_atom_site_fract_x
_atom_site_fract_y
_atom_site_fract_z
Li1 0.000 0.000 0.000
Zn1 0.500 0.500 0.500
Te1 0.500 0.500 0.000
N1 0.000 0.500 0.500
# raw formation energy: 114 kJ/mol of atoms
# crystal system: tetragonal
# final energy: -3.42 eV/atom
# relative energy among the computed polymorphs: 0.0 kJ/mol of formula units

---

No. 3
# LiZnTeN2, optimized geometry, DFT PBE-GGA
data_LiZnTeN2
_cell_length_a 4.046
_cell_length_b 4.046
_cell_length_c 5.593
_cell_angle_alpha 90.00
_cell_angle_beta 90.00
_cell_angle_gamma 90.00
_space_group_name_H-M_alt 'P 4/m m m'
_space_group_IT_number 123
_space_group_name_Hall '-P 4 2'
loop_
_atom_site_label
_atom_site_fract_x
_atom_site_fract_y
_atom_site_fract_z
Li1 0.000 0.000 0.000
Zn1 0.500 0.500 0.500
Te1 0.000 0.000 0.500
N1 0.000 0.500 0.000
# raw formation energy: 148 kJ/mol of atoms
# crystal system: tetragonal
# final energy: -3.06 eV/atom
# relative energy among the computed polymorphs: 172.3 kJ/mol of formula units

---

No. 4
# LiThN2, optimized geometry, DFT PBE-GGA
data_LiThN2
_cell_length_a 3.6231
_cell_length_b 3.6231
_cell_length_c 17.4274
_cell_angle_alpha 90.00
_cell_angle_beta 90.00
_cell_angle_gamma 120.00
_space_group_name_H-M_alt 'R 3 m'
_space_group_IT_number 160
_space_group_name_Hall 'R 3 -2"'
loop_
_atom_site_label
_atom_site_fract_x
_atom_site_fract_y
_atom_site_fract_z
Li1 0.0000 0.0000 0.0000
Th1 0.0000 0.0000 0.8110
N1 0.0000 0.0000 0.2087
N2 0.0000 0.0000 0.4051
# raw formation energy: -62 kJ/mol of atoms
# crystal system: trigonal
# final energy: -7.14 eV/atom
# relative energy among the computed polymorphs: 51.0 kJ/mol of formula units

---

No. 5
# LiTh3N4, optimized geometry, DFT PBE-GGA
data_LiTh3N4
_cell_length_a 5.073
_cell_length_b 5.073
_cell_length_c 5.073
_cell_angle_alpha 90.00
_cell_angle_beta 90.00
_cell_angle_gamma 90.00
_space_group_name_H-M_alt 'P m -3 m'
_space_group_IT_number 221
_space_group_name_Hall '-P 4 2 3'
loop_
_atom_site_label
_atom_site_fract_x
_atom_site_fract_y
_atom_site_fract_z
Li1 0.000 0.000 0.000
Th1 0.000 0.500 0.500
N1 0.000 0.000 0.500
N2 0.500 0.500 0.500
# raw formation energy: -122 kJ/mol of atoms
# crystal system: cubic
# final energy: -8.45 eV/atom

---

No. 6
# LiTh2N, optimized geometry, DFT PBE-GGA
data_LiTh2N
_cell_length_a 3.4909
_cell_length_b 3.4909
_cell_length_c 29.3028
_cell_angle_alpha 90.00
_cell_angle_beta 90.00
_cell_angle_gamma 120.00
_space_group_name_H-M_alt 'R -3 m'
_space_group_IT_number 166
_space_group_name_Hall '-R 3 2"'
loop_
_atom_site_label
_atom_site_fract_x
_atom_site_fract_y
_atom_site_fract_z
Li1 0.0000 0.0000 0.0000
Th1 0.0000 0.0000 0.1159
N1 0.0000 0.0000 0.5000
# raw formation energy: -41 kJ/mol of atoms
# crystal system: trigonal
# final energy: -6.69 eV/atom

---

No. 7
# LiThN, optimized geometry, DFT PBE-GGA
data_LiThN
_cell_length_a 6.100
_cell_length_b 6.262
_cell_length_c 6.061
_cell_angle_alpha 90.00
_cell_angle_beta 90.17
_cell_angle_gamma 90.00
_space_group_name_H-M_alt 'C 1 2/m 1'
_space_group_IT_number 12
_space_group_name_Hall '-C 2y'
loop_
_atom_site_label
_atom_site_fract_x
_atom_site_fract_y
_atom_site_fract_z
Li1 0.188 0.000 0.000
Th1 0.250 0.250 0.500
N1 0.000 0.000 0.276
# raw formation energy: -36 kJ/mol of atoms
# crystal system: monoclinic
# final energy: -6.26 eV/atom

---

No. 8
# LiThN2, optimized geometry, DFT PBE-GGA
data_LiThN2
_cell_length_a 3.7555
_cell_length_b 3.7555
_cell_length_c 17.9422
_cell_angle_alpha 90.00
_cell_angle_beta 90.00
_cell_angle_gamma 120.00
_space_group_name_H-M_alt 'R -3 m'
_space_group_IT_number 166
_space_group_name_Hall '-R 3 2"'
loop_
_atom_site_label
_atom_site_fract_x
_atom_site_fract_y
_atom_site_fract_z
Li1 0.0000 0.0000 0.0000
Th1 0.0000 0.0000 0.5000
N1 0.0000 0.0000 0.1072
# raw formation energy: -75 kJ/mol of atoms
# crystal system: trigonal
# final energy: -7.27 eV/atom
# relative energy among the computed polymorphs: 0.0 kJ/mol of formula units

---

No. 9
# Li2ThN2, optimized geometry, DFT PBE-GGA
data_Li2ThN2
_cell_length_a 3.6988
_cell_length_b 3.6988
_cell_length_c 5.5431
_cell_angle_alpha 90.00
_cell_angle_beta 90.00
_cell_angle_gamma 120.00
_space_group_name_H-M_alt 'P -3 m 1'
_space_group_IT_number 164
_space_group_name_Hall '-P 3 2"'
loop_
_atom_site_label
_atom_site_fract_x
_atom_site_fract_y
_atom_site_fract_z
Li1 0.3333 0.6667 0.0964
Th1 0.0000 0.0000 0.5000
N1 0.3333 0.6667 0.7272
# raw formation energy: -103 kJ/mol of atoms
# crystal system: trigonal
# final energy: -6.64 eV/atom

---

No. 10
# LiTh2UN5, optimized geometry, DFT PBE-GGA
data_LiTh2UN5
_cell_length_a 3.535
_cell_length_b 13.630
_cell_length_c 10.437
_cell_angle_alpha 90.00
_cell_angle_beta 90.00
_cell_angle_gamma 90.00
_space_group_name_H-M_alt 'C m c 21'
_space_group_IT_number 36
_space_group_name_Hall 'C 2c -2'
loop_
_atom_site_label
_atom_site_fract_x
_atom_site_fract_y
_atom_site_fract_z
Li1 0.000 0.021 0.000
Th1 0.000 0.375 0.836
Th2 0.000 0.395 0.213
U1 0.000 0.302 0.539
N1 0.000 0.004 0.305
N2 0.000 0.145 0.534
N3 0.000 0.200 0.904
N4 0.000 0.217 0.178
N5 0.000 0.445 0.582
# raw formation energy: -123 kJ/mol of atoms
# crystal system: orthorhombic
# final energy: -9.02 eV/atom

---

No. 11
# LiTh2UN4, optimized geometry, DFT PBE-GGA
data_LiTh2UN4
_cell_length_a 5.873
_cell_length_b 3.612
_cell_length_c 6.082
_cell_angle_alpha 90.00
_cell_angle_beta 107.85
_cell_angle_gamma 90.00
_space_group_name_H-M_alt 'P 1 2/m 1'
_space_group_IT_number 10
_space_group_name_Hall '-P 2y'
loop_
_atom_site_label
_atom_site_fract_x
_atom_site_fract_y
_atom_site_fract_z
Li1 0.000 0.000 0.000
Th1 0.000 0.500 0.500
Th2 0.500 0.000 0.500
U1 0.500 0.500 0.000
N1 0.266 0.000 0.779
N2 0.288 0.500 0.241
# raw formation energy: -116 kJ/mol of atoms
# crystal system: monoclinic
# final energy: -8.88 eV/atom

---

No. 12
# Li2ThUN4, optimized geometry, DFT PBE-GGA
data_Li2ThUN4
_cell_length_a 5.435
_cell_length_b 3.583
_cell_length_c 6.214
_cell_angle_alpha 90.00
_cell_angle_beta 112.94
_cell_angle_gamma 90.00
_space_group_name_H-M_alt 'P 1 2/m 1'
_space_group_IT_number 10
_space_group_name_Hall '-P 2y'
loop_
_atom_site_label
_atom_site_fract_x
_atom_site_fract_y
_atom_site_fract_z
Li1 0.000 0.000 0.000
Li2 0.000 0.500 0.500
Th1 0.500 0.000 0.500
U1 0.500 0.500 0.000
N1 0.286 0.000 0.779
N2 0.297 0.500 0.229
# raw formation energy: -108 kJ/mol of atoms
# crystal system: monoclinic
# final energy: -8.10 eV/atom

---

No. 13
# Li2ThVN4, optimized geometry, DFT PBE-GGA
data_Li2ThVN4
_cell_length_a 5.326
_cell_length_b 5.326
_cell_length_c 6.677
_cell_angle_alpha 90.00
_cell_angle_beta 90.00
_cell_angle_gamma 90.00
_space_group_name_H-M_alt 'I -4 2 m'
_space_group_IT_number 121
_space_group_name_Hall 'I -4 2'
loop_
_atom_site_label
_atom_site_fract_x
_atom_site_fract_y
_atom_site_fract_z
Li1 0.000 0.500 0.250
Th1 0.000 0.000 0.000
V1 0.000 0.000 0.500
N1 0.200 0.200 0.347
# raw formation energy: -84 kJ/mol of atoms
# crystal system: tetragonal
# final energy: -7.58 eV/atom

---

No. 14
# LiTh2WN5, optimized geometry, DFT PBE-GGA
data_LiTh2WN5
_cell_length_a 3.320
_cell_length_b 13.699
_cell_length_c 10.391
_cell_angle_alpha 90.00
_cell_angle_beta 90.00
_cell_angle_gamma 90.00
_space_group_name_H-M_alt 'C m c 21'
_space_group_IT_number 36
_space_group_name_Hall 'C 2c -2'
loop_
_atom_site_label
_atom_site_fract_x
_atom_site_fract_y
_atom_site_fract_z
Li1 0.000 0.041 0.000
Th1 0.000 0.369 0.853
Th2 0.000 0.397 0.217
W1 0.000 0.303 0.558
N1 0.000 0.001 0.314
N2 0.000 0.141 0.545
N3 0.000 0.196 0.946
N4 0.000 0.219 0.209
N5 0.000 0.434 0.602
# raw formation energy: -95 kJ/mol of atoms
# crystal system: orthorhombic
# final energy: -8.91 eV/atom

---

No. 15
# LiThW2N6, optimized geometry, DFT PBE-GGA
data_LiThW2N6
_cell_length_a 9.673
_cell_length_b 10.757
_cell_length_c 6.514
_cell_angle_alpha 90.00
_cell_angle_beta 115.89
_cell_angle_gamma 90.00
_space_group_name_H-M_alt 'C 1 2/c 1'
_space_group_IT_number 15
_space_group_name_Hall '-C 2yc'
loop_
_atom_site_label
_atom_site_fract_x
_atom_site_fract_y
_atom_site_fract_z
Li1 0.000 0.209 0.250
Th1 0.000 0.103 0.750
W1 0.158 0.420 0.695
N1 0.111 0.259 0.606
N2 0.121 0.458 0.957
N3 0.127 0.073 0.163
# raw formation energy: -58 kJ/mol of atoms
# crystal system: monoclinic
# final energy: -9.12 eV/atom

---

No. 16
# Li3Th2WN6, optimized geometry, DFT PBE-GGA
data_Li3Th2WN6
_cell_length_a 5.857
_cell_length_b 10.584
_cell_length_c 5.367
_cell_angle_alpha 90.00
_cell_angle_beta 107.66
_cell_angle_gamma 90.00
_space_group_name_H-M_alt 'C 1 2/m 1'
_space_group_IT_number 12
_space_group_name_Hall '-C 2y'
loop_
_atom_site_label
_atom_site_fract_x
_atom_site_fract_y
_atom_site_fract_z
Li1 0.000 0.000 0.000
Li2 0.000 0.382 0.000
Th1 0.000 0.168 0.500
W1 0.000 0.500 0.500
N1 0.207 0.358 0.719
N2 0.241 0.500 0.283
# raw formation energy: -78 kJ/mol of atoms
# crystal system: monoclinic
# final energy: -7.77 eV/atom

---

No. 17
# LiThZrN3, optimized geometry, DFT PBE-GGA
data_LiThZrN3
_cell_length_a 6.869
_cell_length_b 3.343
_cell_length_c 7.139
_cell_angle_alpha 90.00
_cell_angle_beta 104.33
_cell_angle_gamma 90.00
_space_group_name_H-M_alt 'P 1 21/m 1'
_space_group_IT_number 11
_space_group_name_Hall '-P 2yb'
loop_
_atom_site_label
_atom_site_fract_x
_atom_site_fract_y
_atom_site_fract_z
Li1 0.091 0.250 0.081
Th1 0.264 0.750 0.798
Zr1 0.324 0.750 0.332
N1 0.002 0.250 0.800
N2 0.333 0.250 0.561
N3 0.375 0.250 0.135
# raw formation energy: -123 kJ/mol of atoms
# crystal system: monoclinic
# final energy: -8.42 eV/atom

---

No. 18
# LiTh2Zr3N6, optimized geometry, DFT PBE-GGA
data_LiTh2Zr3N6
_cell_length_a 14.847
_cell_length_b 3.364
_cell_length_c 6.922
_cell_angle_alpha 90.00
_cell_angle_beta 105.71
_cell_angle_gamma 90.00
_space_group_name_H-M_alt 'C 1 2/m 1'
_space_group_IT_number 12
_space_group_name_Hall '-C 2y'
loop_
_atom_site_label
_atom_site_fract_x
_atom_site_fract_y
_atom_site_fract_z
Li1 0.000 0.000 0.000
Th1 0.160 0.500 0.319
Zr1 0.000 0.000 0.500
Zr2 0.159 0.500 0.830
N1 0.005 0.500 0.731
N2 0.160 0.000 0.599
N3 0.169 0.000 0.065
# raw formation energy: -144 kJ/mol of atoms
# crystal system: monoclinic
# final energy: -9.19 eV/atom

---

No. 19
# LiThZr2N4, optimized geometry, DFT PBE-GGA
data_LiThZr2N4
_cell_length_a 3.327
_cell_length_b 10.878
_cell_length_c 11.052
_cell_angle_alpha 90.00
_cell_angle_beta 90.00
_cell_angle_gamma 90.00
_space_group_name_H-M_alt 'C m c m'
_space_group_IT_number 63
_space_group_name_Hall '-C 2c 2'
loop_
_atom_site_label
_atom_site_fract_x
_atom_site_fract_y
_atom_site_fract_z
Li1 0.000 0.156 0.250
Th1 0.000 0.112 0.750
Zr1 0.000 0.370 0.554
N1 0.000 0.000 0.000
N2 0.000 0.272 0.117
N3 0.000 0.445 0.750
# raw formation energy: -144 kJ/mol of atoms
# crystal system: orthorhombic
# final energy: -8.96 eV/atom

---

No. 20
# LiTi4N4, optimized geometry, DFT PBE-GGA
data_LiTi4N4
_cell_length_a 9.624
_cell_length_b 4.156
_cell_length_c 6.801
_cell_angle_alpha 90.00
_cell_angle_beta 134.94
_cell_angle_gamma 90.00
_space_group_name_H-M_alt 'C 1 2/m 1'
_space_group_IT_number 12
_space_group_name_Hall '-C 2y'
loop_
_atom_site_label
_atom_site_fract_x
_atom_site_fract_y
_atom_site_fract_z
Li1 0.000 0.000 0.000
Ti1 0.120 0.500 0.800
Ti2 0.180 0.000 0.560
N1 0.106 0.000 0.801
N2 0.195 0.500 0.589
# raw formation energy: -144 kJ/mol of atoms
# crystal system: monoclinic
# final energy: -8.92 eV/atom

---

No. 21
# Li2TiN2, optimized geometry, DFT PBE-GGA
data_Li2TiN2
_cell_length_a 7.356
_cell_length_b 5.739
_cell_length_c 5.242
_cell_angle_alpha 90.00
_cell_angle_beta 91.11
_cell_angle_gamma 90.00
_space_group_name_H-M_alt 'P 1 21/c 1'
_space_group_IT_number 14
_space_group_name_Hall '-P 2ybc'
loop_
_atom_site_label
_atom_site_fract_x
_atom_site_fract_y
_atom_site_fract_z
Li1 0.031 0.233 0.002
Li2 0.227 0.617 0.843
Ti1 0.369 0.086 0.819
N1 0.146 0.544 0.235
N2 0.404 0.101 0.191
# raw formation energy: -94 kJ/mol of atoms
# crystal system: monoclinic
# final energy: -6.64 eV/atom

---

No. 22
# Li2TiN2, optimized geometry, DFT PBE-GGA
data_Li2TiN2
_cell_length_a 3.0858
_cell_length_b 3.0858
_cell_length_c 5.4275
_cell_angle_alpha 90.00
_cell_angle_beta 90.00
_cell_angle_gamma 120.00
_space_group_name_H-M_alt 'P -3 m 1'
_space_group_IT_number 164
_space_group_name_Hall '-P 3 2"'
loop_
_atom_site_label
_atom_site_fract_x
_atom_site_fract_y
_atom_site_fract_z
Li1 0.3333 0.6667 0.1308
Ti1 0.0000 0.0000 0.5000
N1 0.3333 0.6667 0.7112
# raw formation energy: -100 kJ/mol of atoms
# crystal system: trigonal
# final energy: -6.72 eV/atom

---

No. 23
# LiTi3N4, optimized geometry, DFT PBE-GGA
data_LiTi3N4
_cell_length_a 6.014
_cell_length_b 8.363
_cell_length_c 2.993
_cell_angle_alpha 90.00
_cell_angle_beta 90.00
_cell_angle_gamma 90.00
_space_group_name_H-M_alt 'C m m m'
_space_group_IT_number 65
_space_group_name_Hall '-C 2 2'
loop_
_atom_site_label
_atom_site_fract_x
_atom_site_fract_y
_atom_site_fract_z
Li1 0.000 0.000 0.000
Ti1 0.000 0.500 0.000
Ti2 0.250 0.250 0.500
N1 0.000 0.252 0.000
N2 0.236 0.500 0.500
# raw formation energy: -144 kJ/mol of atoms
# crystal system: orthorhombic
# final energy: -8.85 eV/atom